Entry 1:
The following is a DFT calculation (PBE) of a relaxed structure of ErTm2Al.

As for the final energy: -17.57 eV for the cell shown. Its space group is R3m, No. 160.

abc: 10.486 10.486 10.486
angles: 19.34 19.34 19.34
Atoms (fractional coordinates):
Er 0.000 0.000 0.000
Tm 0.573 0.573 0.573
Tm 0.760 0.760 0.760
Al 0.166 0.166 0.166

***

Entry 2:
The following is a DFT calculation (PBE) of a relaxed structure of ErTm3Al8.

As for the final energy: -53.96 eV for the cell shown. Its space group is R3m, No. 160.

abc: 9.582 9.582 9.582
angles: 33.41 33.41 33.41
Atoms (fractional coordinates):
Er 0.000 0.000 0.000
Tm 0.125 0.125 0.125
Tm 0.500 0.500 0.500
Tm 0.625 0.625 0.625
Al 0.062 0.062 0.562
Al 0.062 0.562 0.062
Al 0.062 0.562 0.562
Al 0.312 0.312 0.312
Al 0.562 0.062 0.062
Al 0.562 0.062 0.562
Al 0.562 0.562 0.062
Al 0.812 0.812 0.812

***

Entry 3:
The following is a DFT calculation (PBE) of a relaxed structure of Er5TmAl6.

As for the final energy: -54.47 eV for the cell shown. Its space group is Cmmm, No. 65.

abc: 7.987 7.987 7.099
angles: 90.00 90.00 143.15
Atoms (fractional coordinates):
Er 0.000 0.000 0.000
Er 0.333 0.667 0.000
Er 0.333 0.667 0.500
Er 0.667 0.333 0.000
Er 0.667 0.333 0.500
Tm 0.000 0.000 0.500
Al 0.166 0.834 0.251
Al 0.166 0.834 0.749
Al 0.500 0.500 0.251
Al 0.500 0.500 0.749
Al 0.834 0.166 0.251
Al 0.834 0.166 0.749

***

Entry 4:
The following is a DFT calculation (PBE) of a relaxed structure of Er7Tm12Al.

As for the final energy: -85.45 eV for the cell shown. Its space group is R-3, No. 148.

abc: 8.502 8.502 8.502
angles: 87.53 87.53 87.53
Atoms (fractional coordinates):
Er 0.000 0.000 0.000
Er 0.110 0.431 0.354
Er 0.354 0.110 0.431
Er 0.431 0.354 0.110
Er 0.569 0.646 0.890
Er 0.646 0.890 0.569
Er 0.890 0.569 0.646
Tm 0.001 0.116 0.641
Tm 0.116 0.641 0.001
Tm 0.247 0.366 0.747
Tm 0.253 0.753 0.634
Tm 0.359 0.999 0.884
Tm 0.366 0.747 0.247
Tm 0.634 0.253 0.753
Tm 0.641 0.001 0.116
Tm 0.747 0.247 0.366
Tm 0.753 0.634 0.253
Tm 0.884 0.359 0.999
Tm 0.999 0.884 0.359
Al 0.500 0.500 0.500

***

Results for ΔE_f: -31 -583 -456 376 (in kJ/mol of formula units, following the order of the records).